# 1
5
Lattice="3.522 0.000 0.000 0.000 3.522 0.000 1.761 1.761 8.991" Properties=species:S:1:pos:R:3 comment="PBE Y2Co2Bi, optimized geometry" total_energy_ev_per_cell=-31.70 formation_energy_ev_per_atom=-0.14 dos_at_fermi_per_ev_cell=6.8 e_above_lowest_polymorph_ev_per_atom=0.157 density_g_cm3=7.51 space_group="I4/mmm (139)" pbc="T T T"
Y 3.522 3.522 6.696
Co 3.522 1.761 4.496
Co 1.761 3.522 4.496
Y 1.761 1.761 2.295
Bi 0.000 0.000 0.000

# 2
4
Lattice="-3.510 -0.474 -3.019 -2.082 -2.776 -3.101 -3.155 -2.056 2.780" Properties=species:S:1:pos:R:3 comment="PBE MnTc2Os, optimized geometry" total_energy_ev_per_cell=-40.78 formation_energy_ev_per_atom=0.09 dos_at_fermi_per_ev_cell=4.6 e_above_lowest_polymorph_ev_per_atom=0.031 density_g_cm3=13.18 space_group="Cm (8)" pbc="T T T"
Tc -6.549 -3.970 -2.543
Mn -4.381 -2.657 -1.675
Tc -5.601 -3.256 -6.092
Os -2.183 -1.324 -0.821

# 3
8
Lattice="3.618 0.000 0.000 0.000 3.618 0.000 1.809 1.809 5.752" Properties=species:S:1:pos:R:3 comment="PBE TiSiH2, optimized geometry" total_energy_ev_per_cell=-40.53 dos_at_fermi_per_ev_cell=0.0 e_above_lowest_polymorph_ev_per_atom=0.000 density_g_cm3=3.44 space_group="I-42d (122)" pbc="T T T"
H 0.771 2.714 1.438
Ti 3.618 1.809 2.876
Si 1.809 3.618 2.876
Ti 0.000 0.000 0.000
H 2.714 2.580 4.314
H 4.523 4.656 4.314
H 2.847 0.905 1.438
Si 1.809 1.809 0.000